# 1
Material: MnIn2Pb
Method: DFT, SCAN
State: single point on PBEsol structure

## Properties
electronic total energy: -40.092 eV/atom
ΔH_f (0 K): 0.1105 eV/atom

abc: 4.3434 4.3434 4.7855
angles: 90.00 90.00 90.00
Space group P4/mmm (No. 123)
One atom of each set of equivalent atoms:
Mn 0.0000 0.0000 0.0000
In 0.0000 0.5000 0.5000
Pb 0.5000 0.5000 0.0000


# 2
Material: ReHgAs2
Method: DFT, SCAN
State: single point on PBEsol structure

## Properties
electronic total energy: -43.813 eV/atom
ΔH_f (0 K): 1.0982 eV/atom

abc: 6.5286 6.5286 6.5286
angles: 90.00 90.00 90.00
Space group F-43m (No. 216)
One atom of each set of equivalent atoms:
Re 0.0000 0.0000 0.0000
Hg 0.2500 0.2500 0.7500
As 0.0000 0.0000 0.5000
As 0.2500 0.2500 0.2500


# 3
Material: K2NaNbF6
Method: DFT, SCAN
State: single point on PBEsol structure

## Properties
electronic total energy: -10.472 eV/atom

abc: 8.5678 8.5678 8.5678
angles: 90.00 90.00 90.00
Space group Fm-3m (No. 225)
One atom of each set of equivalent atoms:
K 0.2500 0.2500 0.2500
Na 0.0000 0.0000 0.0000
Nb 0.0000 0.0000 0.5000
F 0.0000 0.0000 0.2573


# 4
Material: LaZr2Au
Method: DFT, SCAN
State: single point on PBEsol structure

## Properties
excess energy over the best structure of this formula in the dataset: 0.01 eV per formula unit
electronic total energy: -43.580 eV/atom
ΔH_f (0 K): -0.1656 eV/atom

abc: 5.1021 5.1021 3.2719
angles: 90.00 90.00 90.00
Space group P4/mmm (No. 123)
One atom of each set of equivalent atoms:
La 0.0000 0.0000 0.0000
Zr 0.0000 0.5000 0.5000
Au 0.5000 0.5000 0.0000